No. 1
# PBE-GGA La3CoSn, relaxed
# - calculated formation energy (eV per atom) = 0.488
# - distance to the lowest polymorph of the same formula (meV per atom) = 936.1
# - magnetization (μB per formula unit) = 0.000
# - symmetry = No. 119
data_La3CoSn
_chemical_formula_sum 'La6 Co2 Sn2'
_space_group_name_H-M_alt 'P 1'
_space_group_IT_number 1
_cell_length_a 12.101
_cell_length_b 12.101
_cell_length_c 12.101
_cell_angle_alpha 150.97
_cell_angle_beta 150.97
_cell_angle_gamma 41.52
loop_
_space_group_symop_operation_xyz
'x,y,z'
loop_
_atom_site_label
_atom_site_fract_x
_atom_site_fract_y
_atom_site_fract_z
La1 0.217 0.217 0.000
La2 0.374 0.137 0.763
La3 0.374 0.611 0.237
La4 0.389 0.626 0.763
La5 0.783 0.783 0.000
La6 0.863 0.626 0.237
Co1 0.702 0.202 0.500
Co2 0.798 0.298 0.500
Sn1 0.250 0.750 0.500
Sn2 0.500 0.500 0.000

=====

No. 2
# PBE-GGA Co2BiSe2, relaxed
# - distance to the lowest polymorph of the same formula (meV per atom) = 0.0
# - magnetization (μB per formula unit) = 0.000
# - formation energy from raw total energies (eV/atom) = -0.106
# - symmetry = No. 139
data_Co2BiSe2
_chemical_formula_sum 'Co2 Bi1 Se2'
_space_group_name_H-M_alt 'P 1'
_space_group_IT_number 1
_cell_length_a 8.909
_cell_length_b 8.909
_cell_length_c 8.909
_cell_angle_alpha 157.16
_cell_angle_beta 157.16
_cell_angle_gamma 32.53
loop_
_space_group_symop_operation_xyz
'x,y,z'
loop_
_atom_site_label
_atom_site_fract_x
_atom_site_fract_y
_atom_site_fract_z
Co1 0.250 0.750 0.500
Co2 0.750 0.250 0.500
Bi1 0.000 0.000 0.000
Se1 0.338 0.338 0.000
Se2 0.662 0.662 0.000

=====

No. 3
# PBE-GGA ZnCuRe2, relaxed
# - calculated formation energy (eV per atom) = 0.332
# - distance to the lowest polymorph of the same formula (meV per atom) = 272.6
# - magnetization (μB per formula unit) = 0.001
# - symmetry = No. 166
data_ZnCuRe2
_chemical_formula_sum 'Zn1 Cu1 Re2'
_space_group_name_H-M_alt 'P 1'
_space_group_IT_number 1
_cell_length_a 9.002
_cell_length_b 9.002
_cell_length_c 9.002
_cell_angle_alpha 17.42
_cell_angle_beta 17.42
_cell_angle_gamma 17.42
loop_
_space_group_symop_operation_xyz
'x,y,z'
loop_
_atom_site_label
_atom_site_fract_x
_atom_site_fract_y
_atom_site_fract_z
Zn1 0.000 0.000 0.000
Cu1 0.500 0.500 0.500
Re1 0.249 0.249 0.249
Re2 0.751 0.751 0.751

=====

No. 4
# PBE-GGA PtBrCl2, relaxed
# - distance to the lowest polymorph of the same formula (meV per atom) = 393.4
# - magnetization (μB per formula unit) = 0.000
# - formation energy from raw total energies (eV/atom) = 0.112
# - symmetry = No. 166
data_PtBrCl2
_chemical_formula_sum 'Pt1 Br1 Cl2'
_space_group_name_H-M_alt 'P 1'
_space_group_IT_number 1
_cell_length_a 12.474
_cell_length_b 12.474
_cell_length_c 12.474
_cell_angle_alpha 14.11
_cell_angle_beta 14.11
_cell_angle_gamma 14.11
loop_
_space_group_symop_operation_xyz
'x,y,z'
loop_
_atom_site_label
_atom_site_fract_x
_atom_site_fract_y
_atom_site_fract_z
Pt1 0.000 0.000 0.000
Br1 0.500 0.500 0.500
Cl1 0.060 0.060 0.060
Cl2 0.940 0.940 0.940